(1)
Tl8Bi2Pb | PBE | relaxed

- D(E_F): 0.41 states/eV per atom
- Formation energy: 99 meV/atom

Lattice parameters (Å, degrees): 12.8975 10.7083 5.9046 90.00 101.98 90.00
Space group C2/m (No. 12)
Symmetry-distinct sites (fractional):
Tl: 0.0813 0.2367 0.2866 x8
Tl: 0.0921 0.0000 0.8089 x4
Tl: 0.2392 0.0000 0.3964 x4
Bi: 0.1317 0.5000 0.0455 x4
Pb: 0.0000 0.5000 0.5000 x2

***

(2)
LiZnCo2 | PBE | relaxed

- D(E_F): 0.75 states/eV per atom
- Formation energy: 48 meV/atom

Lattice parameters (Å, degrees): 2.8277 4.0111 4.1369 90.00 90.00 90.00
Space group Pmmm (No. 47)
Symmetry-distinct sites (fractional):
Li: 0.0000 0.0000 0.0000 x1
Zn: 0.5000 0.5000 0.0000 x1
Co: 0.0000 0.5000 0.5000 x1
Co: 0.5000 0.0000 0.5000 x1

***

(3)
BeReRh | PBE | relaxed

- D(E_F): 0.64 states/eV per atom
- Formation energy: -178 meV/atom

Lattice parameters (Å, degrees): 2.7036 4.6635 6.5773 72.00 78.17 73.17
Space group P1 (No. 1)
Symmetry-distinct sites (fractional):
Be: 0.0000 0.0000 0.0000 x1
Be: 0.3868 0.4159 0.8128 x1
Re: 0.3513 0.9500 0.3457 x1
Re: 0.6901 0.4962 0.1261 x1
Rh: 0.0367 0.4294 0.4982 x1
Rh: 0.6971 0.8863 0.7197 x1

***

(4)
NbNi8Pd2 | PBE | relaxed

- D(E_F): 1.60 states/eV per atom
- Formation energy: 55 meV/atom

Lattice parameters (Å, degrees): 6.6757 12.5821 4.3864 90.00 130.99 90.00
Space group C2/m (No. 12)
Symmetry-distinct sites (fractional):
Nb: 0.0000 0.0000 0.0000 x2
Ni: 0.0000 0.1973 0.0000 x4
Ni: 0.0027 0.5000 0.2543 x4
Ni: 0.2307 0.1294 0.7325 x8
Pd: 0.0000 0.3162 0.5000 x4

***

(5)
SO | PBE | relaxed

- Formation energy from raw total energies: -0.01 eV per atom

Lattice parameters (Å, degrees): 10.9472 10.9472 2.6926 90.00 90.00 90.00
Space group P4/m (No. 83)
Symmetry-distinct sites (fractional):
S: 0.1625 0.2260 0.0000 x4
S: 0.2757 0.6643 0.5000 x4
O: 0.0767 0.2816 0.5000 x4
O: 0.2201 0.5785 0.0000 x4

***

(6)
Cs2SiBi | PBE | relaxed

- Formation energy from raw total energies: 0.47 eV per atom
- D(E_F): 0.68 states/eV per atom

Lattice parameters (Å, degrees): 9.0246 9.0246 9.0246 90.00 90.00 90.00
Space group Fm-3m (No. 225)
Symmetry-distinct sites (fractional):
Cs: 0.2500 0.2500 0.2500 x8
Si: 0.0000 0.0000 0.0000 x4
Bi: 0.0000 0.0000 0.5000 x4